Compound: Ho4TeAu
Source: Alexandria via LeMat-Bulk
Functional: PBE
Structure: optimized geometry

Raw total energy, eV/atom: -4.773
D(E_F), states/eV/f.u.: 6.96
Total magnetic moment, Bohr magnetons per cell: 0.000
Space-group type: P2_1/m (11)
E above lowest polymorph, meV/atom: 78
Energy relative to the elements, uncorrected, eV/atom: -0.65

a = 6.6424 Å, b = 6.7628 Å, c = 7.7814 Å
α = 90.00°, β = 93.17°, γ = 90.00°
Sites, in units of the cell vectors:
Ho1 0.0894 0.2500 0.3828
Ho2 0.0940 0.7500 0.0884
Ho3 0.3830 0.0007 0.7808
Ho4 0.3830 0.4993 0.7808
Ho5 0.6170 0.5007 0.2192
Ho6 0.6170 0.9993 0.2192
Ho7 0.9060 0.2500 0.9116
Ho8 0.9106 0.7500 0.6172
Te1 0.3286 0.7500 0.4422
Te2 0.6714 0.2500 0.5578
Au1 0.3036 0.2500 0.0692
Au2 0.6964 0.7500 0.9308